Computed, not measured: CdBr after structural relaxation at the PBE-GGA level of DFT.

The space group is P2_12_12_1 (No. 19) and the conventional cell measures 6.361, 9.651 and 9.853 Å, with angles of 90.00, 90.00 and 90.00 degrees. The distinct sites, in fractional coordinates, are Cd at (0.096, 0.063, 0.107), Cd at (0.214, 0.376, 0.382), Br at (0.072, 0.107, 0.461) and Br at (0.107, 0.745, 0.653).

As for the crystal system: orthorhombic. The value obtained for the total energy is -30.15 eV/cell. The energy relative to the elements, uncorrected is -0.59 eV/atom.